## Ce2ScPb (PBE-GGA)

Data for an optimized crystal structure of Ce2ScPb.

a = 7.7430 Å, b = 7.7430 Å, c = 7.7430 Å
α = 90.00°, β = 90.00°, γ = 90.00°
With the nearest neighbours (Å) after each atom.
Positions (direct):
Ce  0.2500  0.2500  0.2500  4 Pb 3.35, 4 Sc 3.35
Ce  0.2500  0.2500  0.7500  4 Pb 3.35, 4 Sc 3.35
Ce  0.2500  0.7500  0.2500  4 Sc 3.35, 4 Pb 3.35
Ce  0.2500  0.7500  0.7500  4 Pb 3.35, 4 Sc 3.35
Ce  0.7500  0.2500  0.2500  4 Sc 3.35, 4 Pb 3.35
Ce  0.7500  0.2500  0.7500  4 Pb 3.35, 4 Sc 3.35
Ce  0.7500  0.7500  0.2500  4 Pb 3.35, 4 Sc 3.35
Ce  0.7500  0.7500  0.7500  4 Sc 3.35, 4 Pb 3.35
Sc  0.0000  0.0000  0.0000  8 Ce 3.35
Sc  0.0000  0.5000  0.5000  8 Ce 3.35
Sc  0.5000  0.0000  0.5000  8 Ce 3.35
Sc  0.5000  0.5000  0.0000  8 Ce 3.35
Pb  0.0000  0.0000  0.5000  8 Ce 3.35
Pb  0.0000  0.5000  0.0000  8 Ce 3.35
Pb  0.5000  0.0000  0.0000  8 Ce 3.35
Pb  0.5000  0.5000  0.5000  8 Ce 3.35

Its energy relative to the elements is -16 kJ/mol of formula units. Its symmetry is Fm-3m (225).

## LaSmGdMg (PBE-GGA)

Data for an optimized crystal structure of LaSmGdMg.

a = 7.9861 Å, b = 7.9861 Å, c = 7.9861 Å
α = 90.00°, β = 90.00°, γ = 90.00°
With the nearest neighbours (Å) after each atom.
Positions (direct):
La  0.0000  0.0000  0.0000  4 Mg 3.46, 4 Gd 3.46
La  0.0000  0.5000  0.5000  4 Mg 3.46, 4 Gd 3.46
La  0.5000  0.0000  0.5000  4 Mg 3.46, 4 Gd 3.46
La  0.5000  0.5000  0.0000  4 Mg 3.46, 4 Gd 3.46
Sm  0.0000  0.0000  0.5000  4 Gd 3.46, 4 Mg 3.46
Sm  0.0000  0.5000  0.0000  4 Gd 3.46, 4 Mg 3.46
Sm  0.5000  0.0000  0.0000  4 Gd 3.46, 4 Mg 3.46
Sm  0.5000  0.5000  0.5000  4 Gd 3.46, 4 Mg 3.46
Gd  0.2500  0.2500  0.7500  4 La 3.46, 4 Sm 3.46
Gd  0.2500  0.7500  0.2500  4 La 3.46, 4 Sm 3.46
Gd  0.7500  0.2500  0.2500  4 La 3.46, 4 Sm 3.46
Gd  0.7500  0.7500  0.7500  4 La 3.46, 4 Sm 3.46
Mg  0.2500  0.2500  0.2500  4 Sm 3.46, 4 La 3.46
Mg  0.2500  0.7500  0.7500  4 La 3.46, 4 Sm 3.46
Mg  0.7500  0.2500  0.7500  4 La 3.46, 4 Sm 3.46
Mg  0.7500  0.7500  0.2500  4 La 3.46, 4 Sm 3.46

Its energy relative to the elements is 9 kJ/mol of formula units. Its symmetry is F-43m (216).

## Pa5GaSb3 (PBE-GGA)

Data for an optimized crystal structure of Pa5GaSb3.

a = 9.1779 Å, b = 9.1779 Å, c = 6.1919 Å
α = 90.00°, β = 90.00°, γ = 120.00°
With the nearest neighbours (Å) after each atom.
Positions (direct):
Pa  0.0000  0.2755  0.2500  2 Ga 2.97, 5 Sb 3.11-3.24
Pa  0.0000  0.7245  0.7500  2 Ga 2.97, 5 Sb 3.11-3.24
Pa  0.2755  0.0000  0.2500  2 Ga 2.97, 5 Sb 3.11-3.24
Pa  0.2755  0.2755  0.7500  2 Ga 2.97, 5 Sb 3.11-3.24
Pa  0.3333  0.6667  0.0000  2 Pa 3.10, 6 Sb 3.26
Pa  0.3333  0.6667  0.5000  2 Pa 3.10, 6 Sb 3.26
Pa  0.6667  0.3333  0.0000  2 Pa 3.10, 6 Sb 3.26
Pa  0.6667  0.3333  0.5000  2 Pa 3.10, 6 Sb 3.26
Pa  0.7245  0.0000  0.7500  2 Ga 2.97, 5 Sb 3.11-3.24
Pa  0.7245  0.7245  0.2500  2 Ga 2.97, 5 Sb 3.11-3.24
Ga  0.0000  0.0000  0.0000  6 Pa 2.97, 2 Ga 3.10
Ga  0.0000  0.0000  0.5000  6 Pa 2.97, 2 Ga 3.10
Sb  0.0000  0.3791  0.7500  9 Pa 3.11-3.26
Sb  0.0000  0.6209  0.2500  9 Pa 3.11-3.26
Sb  0.3791  0.0000  0.7500  9 Pa 3.11-3.26
Sb  0.3791  0.3791  0.2500  9 Pa 3.11-3.26
Sb  0.6209  0.0000  0.2500  9 Pa 3.11-3.26
Sb  0.6209  0.6209  0.7500  9 Pa 3.11-3.26

The value obtained for the energy relative to the elements, uncorrected is -0.478 eV/atom. Its symmetry is P6_3/mcm (193).

## NaNd3Te4 (PBE-GGA)

Data for an optimized crystal structure of NaNd3Te4.

a = 6.3720 Å, b = 6.3720 Å, c = 6.3720 Å
α = 90.00°, β = 90.00°, γ = 90.00°
With the nearest neighbours (Å) after each atom.
Positions (direct):
Na  0.0000  0.0000  0.0000  6 Te 3.19
Nd  0.0000  0.5000  0.5000  6 Te 3.19
Nd  0.5000  0.0000  0.5000  6 Te 3.19
Nd  0.5000  0.5000  0.0000  6 Te 3.19
Te  0.0000  0.0000  0.5000  4 Nd 3.19, 2 Na 3.19
Te  0.0000  0.5000  0.0000  4 Nd 3.19, 2 Na 3.19
Te  0.5000  0.0000  0.0000  4 Nd 3.19, 2 Na 3.19
Te  0.5000  0.5000  0.5000  6 Nd 3.19

The value obtained for the energy relative to the elements, uncorrected is -1.390 eV/atom. Its symmetry is Pm-3m (221).

## AcSm6DyY2 (PBE-GGA)

Data for an optimized crystal structure of AcSm6DyY2.

a = 8.9986 Å, b = 8.9986 Å, c = 9.6446 Å
α = 92.57°, β = 92.57°, γ = 116.52°
With the nearest neighbours (Å) after each atom.
Positions (direct):
Ac  0.0341  0.9659  0.7500  4 Y 3.50-3.64, 6 Sm 3.66-3.82
Ac  0.9659  0.0341  0.2500  4 Y 3.50-3.64, 6 Sm 3.66-3.82
Sm  0.0063  0.5502  0.6814  4 Sm 3.27-3.65, 1 Dy 3.50, 2 Y 3.50-3.59, 1 Ac 3.66
Sm  0.1197  0.7549  0.0568  7 Sm 3.50-3.86, 1 Y 3.64, 2 Ac 3.82
Sm  0.2451  0.8803  0.4432  7 Sm 3.50-3.86, 1 Y 3.64, 2 Ac 3.82
Sm  0.2910  0.5185  0.8834  4 Sm 3.27-3.54, 3 Y 3.33-3.51, 2 Dy 3.50-3.59
Sm  0.4498  0.9937  0.8186  4 Sm 3.27-3.65, 1 Dy 3.50, 2 Y 3.50-3.59, 1 Ac 3.66
Sm  0.4815  0.7090  0.6166  4 Sm 3.27-3.54, 3 Y 3.33-3.51, 2 Dy 3.50-3.59
Sm  0.5185  0.2910  0.3834  4 Sm 3.27-3.54, 3 Y 3.33-3.51, 2 Dy 3.50-3.59
Sm  0.5502  0.0063  0.1814  4 Sm 3.27-3.65, 1 Dy 3.50, 2 Y 3.50-3.59, 1 Ac 3.66
Sm  0.7090  0.4815  0.1166  4 Sm 3.27-3.54, 3 Y 3.33-3.51, 2 Dy 3.50-3.59
Sm  0.7549  0.1197  0.5568  7 Sm 3.50-3.86, 1 Y 3.64, 2 Ac 3.82
Sm  0.8803  0.2451  0.9432  7 Sm 3.50-3.86, 1 Y 3.64, 2 Ac 3.82
Sm  0.9937  0.4498  0.3186  4 Sm 3.27-3.65, 1 Dy 3.50, 2 Y 3.50-3.59, 1 Ac 3.66
Dy  0.4116  0.5884  0.2500  6 Sm 3.50-3.59, 4 Y 3.58-3.88
Dy  0.5884  0.4116  0.7500  6 Sm 3.50-3.59, 4 Y 3.58-3.88
Y  0.2068  0.3109  0.5505  6 Sm 3.33-3.64, 2 Ac 3.50-3.64, 1 Dy 3.58
Y  0.3109  0.2068  0.0505  6 Sm 3.33-3.64, 2 Ac 3.50-3.64, 1 Dy 3.58
Y  0.6891  0.7932  0.9495  6 Sm 3.33-3.64, 2 Ac 3.50-3.64, 1 Dy 3.58
Y  0.7932  0.6891  0.4495  6 Sm 3.33-3.64, 2 Ac 3.50-3.64, 1 Dy 3.58

Its energy relative to the elements is 121 kJ/mol of formula units. Its symmetry is C2/c (15).

## K2LiY (PBE-GGA)

Data for an optimized crystal structure of K2LiY.

a = 10.0113 Å, b = 10.0113 Å, c = 7.0757 Å
α = 90.00°, β = 90.00°, γ = 90.00°
With the nearest neighbours (Å) after each atom.
Positions (direct):
K  0.2034  0.2500  0.1250  2 Li 3.35, 2 K 3.66
K  0.2500  0.7034  0.3750  2 Li 3.35, 2 K 3.66
K  0.2500  0.7966  0.8750  2 Li 3.35, 2 K 3.66
K  0.2966  0.2500  0.6250  2 Li 3.35, 2 K 3.66
K  0.7034  0.7500  0.6250  2 Li 3.35, 2 K 3.66
K  0.7500  0.2034  0.8750  2 Li 3.35, 2 K 3.66
K  0.7500  0.2966  0.3750  2 Li 3.35, 2 K 3.66
K  0.7966  0.7500  0.1250  2 Li 3.35, 2 K 3.66
Li  0.0000  0.0000  0.0000  4 K 3.35, 2 Y 3.54
Li  0.0000  0.5000  0.2500  4 K 3.35, 2 Y 3.54
Li  0.5000  0.0000  0.7500  4 K 3.35, 2 Y 3.54
Li  0.5000  0.5000  0.5000  4 K 3.35, 2 Y 3.54
Y  0.0000  0.0000  0.5000  2 Li 3.54
Y  0.0000  0.5000  0.7500  2 Li 3.54
Y  0.5000  0.0000  0.2500  2 Li 3.54
Y  0.5000  0.5000  0.0000  2 Li 3.54

Its energy relative to the elements is 245 kJ/mol of formula units. Its symmetry is I-42d (122).

| no. | raw total energy (eV per atom) |
| --- | --- |
| 1 | -5.5196 |
| 2 | -6.3067 |
| 3 | -7.4644 |
| 4 | -4.9140 |
| 5 | -4.8698 |
| 6 | -2.0094 |